# ZrTi2Ge

ZrTi2Ge after structural relaxation (PBE-GGA, the Alexandria database).

Unit cell a=6.0113 b=6.0113 c=6.0113 alpha=101.61 beta=101.61 gamma=126.69
Atoms (fractional coordinates):
1 Zr 0.0000 0.0000 0.0000
2 Zr 0.7500 0.2500 0.5000
3 Ti 0.1652 0.1250 0.5402
4 Ti 0.3750 0.8348 0.9598
5 Ti 0.5848 0.6250 0.4598
6 Ti 0.8750 0.4152 0.0402
7 Ge 0.2500 0.7500 0.5000
8 Ge 0.5000 0.5000 0.0000

Summary:
Formation energy from the elements ... 0.06 eV/atom
N(E_F) ... 1.345 states/eV per atom
SG ... No. 122
Total magnetic moment ... 0.0000 μB/atom
Calculated volume ... 19.459 Å³ per atom
Calculated total energy ... -57.47 eV for the cell shown

=====

# TaCoSe2

TaCoSe2 after structural relaxation (PBE-GGA, the Alexandria database).

Unit cell a=6.6772 b=6.6772 c=6.6772 alpha=129.73 beta=129.73 gamma=73.84
Atoms (fractional coordinates):
1 Ta 0.0000 0.0000 0.0000
2 Ta 0.7500 0.2500 0.5000
3 Co 0.2500 0.7500 0.5000
4 Co 0.5000 0.5000 0.0000
5 Se 0.1539 0.6250 0.0289
6 Se 0.3750 0.4039 0.5289
7 Se 0.5961 0.1250 0.9711
8 Se 0.8750 0.8461 0.4711

Summary:
Formation energy without anion corrections ... 0.06 eV/f.u.
N(E_F) ... 0.821 states/eV per atom
SG ... No. 122
Total magnetic moment ... 0.0584 μB/atom
Calculated volume ... 21.470 Å³ per atom
Calculated total energy ... -51.73 eV for the cell shown

=====

# Li2TiSn3P6O24

Li2TiSn3P6O24 after structural relaxation (PBE-GGA, the Alexandria database).

Unit cell a=8.7794 b=8.7794 c=8.7794 alpha=59.60 beta=59.60 gamma=59.60
Atoms (fractional coordinates):
1 Li 0.0000 0.0000 0.0000
2 Li 0.4920 0.4920 0.4920
3 Ti 0.3559 0.3559 0.3559
4 Sn 0.1423 0.1423 0.1423
5 Sn 0.6415 0.6415 0.6415
6 Sn 0.8578 0.8578 0.8578
7 P 0.0466 0.7455 0.4556
8 P 0.2487 0.5425 0.9592
9 P 0.4556 0.0466 0.7455
10 P 0.5425 0.9592 0.2487
11 P 0.7455 0.4556 0.0466
12 P 0.9592 0.2487 0.5425
13 O 0.0175 0.7936 0.6167
14 O 0.0591 0.9118 0.2672
15 O 0.0845 0.7326 0.9509
16 O 0.1211 0.3090 0.4913
17 O 0.1878 0.3908 0.9893
18 O 0.2351 0.5816 0.4309
19 O 0.2672 0.0591 0.9118
20 O 0.3090 0.4913 0.1211
21 O 0.3908 0.9893 0.1878
22 O 0.4098 0.5607 0.7678
23 O 0.4309 0.2351 0.5816
24 O 0.4913 0.1211 0.3090
25 O 0.4924 0.8866 0.6928
26 O 0.5607 0.7678 0.4098
27 O 0.5816 0.4309 0.2351
28 O 0.6167 0.0175 0.7936
29 O 0.6928 0.4924 0.8866
30 O 0.7326 0.9509 0.0845
31 O 0.7678 0.4098 0.5607
32 O 0.7936 0.6167 0.0175
33 O 0.8866 0.6928 0.4924
34 O 0.9118 0.2672 0.0591
35 O 0.9509 0.0845 0.7326
36 O 0.9893 0.1878 0.3908

Summary:
Formation energy without anion corrections ... -78.52 eV/f.u.
N(E_F) ... 0.000 states/eV per atom
SG ... No. 146
Total magnetic moment ... 0.0000 μB/atom
Calculated volume ... 13.171 Å³ per atom
Calculated total energy ... -253.71 eV for the cell shown

=====

# Cr2FeAg

Cr2FeAg after structural relaxation (PBE-GGA, the Alexandria database).

Unit cell a=2.5305 b=2.5305 c=8.5474 alpha=90.00 beta=90.00 gamma=106.97
Atoms (fractional coordinates):
1 Cr 0.0000 0.0000 0.2245
2 Cr 0.0000 0.0000 0.7755
3 Fe 0.5000 0.5000 0.0000
4 Ag 0.5000 0.5000 0.5000

Summary:
Formation energy from the elements ... 0.45 eV/atom
N(E_F) ... 1.134 states/eV per atom
SG ... No. 65
Total magnetic moment ... 0.4494 μB/atom
Calculated volume ... 13.088 Å³ per atom
Calculated total energy ... -28.77 eV for the cell shown

=====

# Na4CaHg4

Na4CaHg4 after structural relaxation (PBE-GGA, the Alexandria database).

Unit cell a=9.7441 b=9.7441 c=5.4948 alpha=90.00 beta=90.00 gamma=90.00
Atoms (fractional coordinates):
1 Na 0.1026 0.8417 0.1324
2 Na 0.1583 0.6026 0.6324
3 Na 0.3417 0.8974 0.6324
4 Na 0.3974 0.6583 0.1324
5 Na 0.6026 0.3417 0.8676
6 Na 0.6583 0.1026 0.3676
7 Na 0.8417 0.3974 0.3676
8 Na 0.8974 0.1583 0.8676
9 Ca 0.2500 0.2500 0.7500
10 Ca 0.7500 0.7500 0.2500
11 Hg 0.0507 0.1329 0.3552
12 Hg 0.1329 0.4493 0.1448
13 Hg 0.3671 0.0507 0.1448
14 Hg 0.4493 0.3671 0.3552
15 Hg 0.5507 0.6329 0.6448
16 Hg 0.6329 0.9493 0.8552
17 Hg 0.8671 0.5507 0.8552
18 Hg 0.9493 0.8671 0.6448

Summary:
Formation energy from the elements ... -0.19 eV/atom
N(E_F) ... 0.313 states/eV per atom
SG ... No. 86
Total magnetic moment ... 0.0000 μB/atom
Calculated volume ... 28.984 Å³ per atom
Calculated total energy ... -20.32 eV for the cell shown

=====

# HfTc2RhSe

HfTc2RhSe after structural relaxation (PBE-GGA, the Alexandria database).

Unit cell a=4.6825 b=4.6825 c=4.6656 alpha=90.00 beta=90.00 gamma=90.00
Atoms (fractional coordinates):
1 Hf 0.0000 0.0000 0.0000
2 Tc 0.0000 0.5000 0.5000
3 Tc 0.5000 0.0000 0.5000
4 Rh 0.5000 0.5000 0.5000
5 Se 0.5000 0.5000 0.0000

Summary:
Formation energy without anion corrections ... 5.84 eV/f.u.
N(E_F) ... 1.213 states/eV per atom
SG ... No. 123
Total magnetic moment ... 0.0000 μB/atom
Calculated volume ... 20.460 Å³ per atom
Calculated total energy ... -35.68 eV for the cell shown

=====

# YPBr2

YPBr2 after structural relaxation (PBE-GGA, the Alexandria database).

Unit cell a=4.0467 b=4.0467 c=8.2736 alpha=90.00 beta=90.00 gamma=90.00
Atoms (fractional coordinates):
1 Y 0.0000 0.0000 0.0000
2 P 0.5000 0.5000 0.0311
3 Br 0.0000 0.0000 0.6886
4 Br 0.5000 0.5000 0.3115

Summary:
Formation energy without anion corrections ... -4.09 eV/f.u.
N(E_F) ... 0.051 states/eV per atom
SG ... No. 99
Total magnetic moment ... 0.0000 μB/atom
Calculated volume ... 33.873 Å³ per atom
Calculated total energy ... -19.30 eV for the cell shown

=====

# Sc2InTcI

Sc2InTcI after structural relaxation (PBE-GGA, the Alexandria database).

Unit cell a=5.2029 b=5.2029 c=5.7238 alpha=90.00 beta=90.00 gamma=90.00
Atoms (fractional coordinates):
1 Sc 0.0000 0.5000 0.0000
2 Sc 0.5000 0.0000 0.0000
3 In 0.0000 0.0000 0.5000
4 Tc 0.5000 0.5000 0.5000
5 I 0.0000 0.0000 0.0000

Summary:
Formation energy without anion corrections ... 6.11 eV/f.u.
N(E_F) ... 0.985 states/eV per atom
SG ... No. 123
Total magnetic moment ... 0.5397 μB/atom
Calculated volume ... 30.988 Å³ per atom
Calculated total energy ... -21.21 eV for the cell shown

=====

# Rb2UBeTe5

Rb2UBeTe5 after structural relaxation (PBE-GGA, the Alexandria database).

Unit cell a=11.1041 b=11.1041 c=15.7686 alpha=90.00 beta=90.00 gamma=158.19
Atoms (fractional coordinates):
1 Rb 0.1208 0.8792 0.5000
2 Rb 0.1294 0.8706 0.8631
3 Rb 0.8706 0.1294 0.3631
4 Rb 0.8792 0.1208 0.0000
5 U 0.1982 0.8018 0.1913
6 U 0.8018 0.1982 0.6913
7 Be 0.4166 0.5834 0.6007
8 Be 0.5834 0.4166 0.1007
9 Te 0.0627 0.9373 0.1882
10 Te 0.3049 0.6951 0.8253
11 Te 0.3064 0.6936 0.5536
12 Te 0.3284 0.6716 0.1806
13 Te 0.4822 0.5178 0.4784
14 Te 0.5178 0.4822 0.9784
15 Te 0.6716 0.3284 0.6806
16 Te 0.6936 0.3064 0.0536
17 Te 0.6951 0.3049 0.3253
18 Te 0.9373 0.0627 0.6882

Summary:
Formation energy without anion corrections ... -5.58 eV/f.u.
N(E_F) ... 0.386 states/eV per atom
SG ... No. 36
Total magnetic moment ... 0.0737 μB/atom
Calculated volume ... 40.130 Å³ per atom
Calculated total energy ... -76.47 eV for the cell shown

=====

# NdSm5DyTm2

NdSm5DyTm2 after structural relaxation (PBE-GGA, the Alexandria database).

Unit cell a=10.4792 b=10.4792 c=10.6926 alpha=90.00 beta=90.00 gamma=148.84
Atoms (fractional coordinates):
1 Nd 0.2015 0.7985 0.5000
2 Nd 0.7985 0.2015 0.0000
3 Sm 0.0168 0.9832 0.5139
4 Sm 0.2818 0.7182 0.7977
5 Sm 0.2980 0.7020 0.1949
6 Sm 0.3925 0.6075 0.5155
7 Sm 0.4787 0.5213 0.2309
8 Sm 0.5213 0.4787 0.7309
9 Sm 0.6075 0.3925 0.0155
10 Sm 0.7020 0.2980 0.6949
11 Sm 0.7182 0.2818 0.2977
12 Sm 0.9832 0.0168 0.0139
13 Dy 0.4123 0.5877 0.9455
14 Dy 0.5877 0.4123 0.4455
15 Tm 0.1096 0.8904 0.2286
16 Tm 0.1158 0.8842 0.8086
17 Tm 0.8842 0.1158 0.3086
18 Tm 0.8904 0.1096 0.7286

Summary:
Formation energy from the elements ... 0.15 eV/atom
N(E_F) ... 1.565 states/eV per atom
SG ... No. 36
Total magnetic moment ... 0.0000 μB/atom
Calculated volume ... 33.752 Å³ per atom
Calculated total energy ... -81.09 eV for the cell shown

=====

# TlCu5

TlCu5 after structural relaxation (PBE-GGA, the Alexandria database).

Unit cell a=4.0922 b=7.8502 c=7.8502 alpha=20.65 beta=90.00 gamma=90.00
Atoms (fractional coordinates):
1 Tl 0.0000 0.0000 0.0000
2 Cu 0.0000 0.3072 0.3072
3 Cu 0.0000 0.6689 0.6689
4 Cu 0.5000 0.1350 0.1350
5 Cu 0.5000 0.4047 0.4047
6 Cu 0.5000 0.7703 0.7703

Summary:
Formation energy from the elements ... 0.20 eV/atom
N(E_F) ... 0.300 states/eV per atom
SG ... No. 38
Total magnetic moment ... 0.0000 μB/atom
Calculated volume ... 14.824 Å³ per atom
Calculated total energy ... -21.64 eV for the cell shown